No. 1
{"formula": "NiAg5", "functional": "GGA-PBE", "state": "optimized geometry", "lattice": [[-1.606, -0.875, -2.417], [-3.264, -1.867, 2.845], [-1.848, 7.125, -1.351]], "species": ["Ag", "Ni", "Ag", "Ag", "Ag", "Ag"], "frac_coords": [[0.000, 0.325, 0.650], [0.000, 0.000, 0.000], [0.500, 0.500, 0.000], [0.500, 0.151, 0.302], [0.000, 0.675, 0.350], [0.500, 0.849, 0.698]], "magnetic_moment_mub_per_atom": 0.000, "crystal_system": "orthorhombic", "e_above_lowest_polymorph_mev_per_atom": 24, "delta_e_f_ev_per_atom": 0.1612, "dos_at_fermi_per_ev_cell": 3.483, "dft_energy_ry_per_atom": -0.2336}

---

No. 2
{"formula": "TlCu2HSe2O10", "functional": "GGA-PBE", "state": "optimized geometry", "lattice": [[5.418, -0.008, -0.073], [1.880, 5.082, -0.073], [3.078, 2.140, 8.309]], "species": ["O", "O", "O", "O", "O", "Tl", "H", "Se", "Cu", "O", "Cu", "O", "O", "O", "O", "Se"], "frac_coords": [[0.197, 0.650, 0.294], [0.650, 0.197, 0.294], [0.657, 0.657, 0.359], [0.343, 0.343, 0.641], [0.350, 0.803, 0.706], [0.000, 0.000, 0.000], [0.000, 0.000, 0.500], [0.545, 0.545, 0.250], [0.000, 0.500, 0.500], [0.150, 0.150, 0.460], [0.500, 0.000, 0.500], [0.347, 0.347, 0.943], [0.850, 0.850, 0.540], [0.653, 0.653, 0.057], [0.803, 0.350, 0.706], [0.455, 0.455, 0.750]], "magnetic_moment_mub_per_atom": 0.000, "crystal_system": "monoclinic", "dft_energy_ry_per_atom": -0.3669}

---

No. 3
{"formula": "Zr2HOs", "functional": "GGA-PBE", "state": "optimized geometry", "lattice": [[0.000, 3.208, 3.208], [3.208, 0.000, 3.208], [3.208, 3.208, 0.000]], "species": ["Zr", "Os", "H", "Zr"], "frac_coords": [[0.750, 0.750, 0.750], [0.500, 0.500, 0.500], [0.000, 0.000, 0.000], [0.250, 0.250, 0.250]], "magnetic_moment_mub_per_atom": 0.000, "crystal_system": "cubic", "e_above_lowest_polymorph_mev_per_atom": 150, "dos_at_fermi_per_ev_cell": 3.244, "dft_energy_ry_per_atom": -0.5804}

---

No. 4
{"formula": "AcCuAsS", "functional": "GGA-PBE", "state": "optimized geometry", "lattice": [[-2.458, 3.134, -2.319], [-3.748, -1.147, 2.423], [2.048, 6.080, 6.047]], "species": ["Cu", "Cu", "As", "S", "Ac", "Ac", "As", "S"], "frac_coords": [[0.000, 0.000, 0.000], [0.500, 0.500, 0.000], [0.000, 0.500, 0.874], [0.500, 0.500, 0.500], [0.000, 0.500, 0.305], [0.500, 0.000, 0.695], [0.500, 0.000, 0.126], [0.000, 0.000, 0.500]], "magnetic_moment_mub_per_atom": 0.000, "raw_formation_energy_ev_per_fu": -4.0, "crystal_system": "tetragonal", "dos_at_fermi_per_ev_cell": 5.900, "dft_energy_ry_per_atom": -0.3847}

---

No. 5
{"formula": "Dy3Mg2Tl3", "functional": "GGA-PBE", "state": "optimized geometry", "lattice": [[4.295, 0.000, 0.000], [0.000, 4.895, 0.000], [-2.147, -2.448, 10.042]], "species": ["Tl", "Mg", "Dy", "Dy", "Tl", "Dy", "Tl", "Mg"], "frac_coords": [[0.000, 0.500, 0.000], [0.748, 0.248, 0.496], [0.376, 0.376, 0.752], [0.500, 0.000, 0.000], [0.138, 0.138, 0.276], [0.624, 0.624, 0.248], [0.862, 0.862, 0.724], [0.252, 0.752, 0.504]], "magnetic_moment_mub_per_atom": 0.071, "crystal_system": "orthorhombic", "delta_e_f_ev_per_atom": -0.2059, "dos_at_fermi_per_ev_cell": 7.049, "dft_energy_ry_per_atom": -0.2365}

---

No. 6
{"formula": "Ca2ReP", "functional": "GGA-PBE", "state": "optimized geometry", "lattice": [[-4.290, 2.066, 0.097], [-3.932, -2.657, -0.402], [-2.854, -0.613, 3.762]], "species": ["Re", "P", "Ca", "Ca"], "frac_coords": [[0.750, 0.750, 0.750], [0.500, 0.500, 0.500], [0.250, 0.250, 0.250], [0.000, 0.000, 0.000]], "magnetic_moment_mub_per_atom": 0.420, "crystal_system": "cubic", "delta_e_f_ev_per_atom": 0.4475, "dos_at_fermi_per_ev_cell": 2.139, "dft_energy_ry_per_atom": -0.3688}